Entry 1:
An optimized crystal structure of NaAlGe. Source: Alexandria, functional PBE.

Unit cell a=4.162 b=4.266 c=7.709 alpha=90.00 beta=90.13 gamma=90.03
Space group P1 (No. 1)
Asymmetric unit:
Na1 0.000 0.000 0.000 [1 per cell]
Na2 0.499 0.500 0.723 [1 per cell]
Al1 0.499 0.999 0.373 [1 per cell]
Al2 0.501 0.500 0.148 [1 per cell]
Ge1 0.002 0.498 0.368 [1 per cell]
Ge2 0.999 0.998 0.587 [1 per cell]

Properties
ΔE_f = -0.02 eV per atom
Fermi-level density of states = 0.89 states/eV per cell
spin magnetization = 0.0 μB/f.u.

---

Entry 2:
An optimized crystal structure of NaAlGe. Source: Alexandria, functional PBE.

Unit cell a=7.432 b=5.134 c=6.730 alpha=90.00 beta=90.00 gamma=90.00
Space group Aem2 (No. 39)
Asymmetric unit:
Na1 0.000 0.000 0.000 [4 per cell]
Al1 0.383 0.250 0.361 [4 per cell]
Ge1 0.295 0.250 0.735 [4 per cell]

Properties
ΔE_f = 0.09 eV per atom
Fermi-level density of states = 2.33 states/eV per cell
spin magnetization = 0.0 μB/f.u.

---

Entry 3:
An optimized crystal structure of NaAlGe. Source: Alexandria, functional PBE.

Unit cell a=4.394 b=13.525 c=6.673 alpha=90.00 beta=90.00 gamma=90.00
Space group Imm2 (No. 44)
Asymmetric unit:
Na1 0.000 0.000 0.000 [2 per cell]
Na2 0.000 0.351 0.450 [4 per cell]
Al1 0.000 0.000 0.510 [2 per cell]
Al2 0.000 0.322 0.958 [4 per cell]
Ge1 0.000 0.176 0.675 [4 per cell]
Ge2 0.000 0.500 0.795 [2 per cell]

Properties
ΔE_f = -0.02 eV per atom
Fermi-level density of states = 1.14 states/eV per cell
spin magnetization = 0.0 μB/f.u.

---

Entry 4:
An optimized crystal structure of NaAlGe. Source: Alexandria, functional PBE.

Unit cell a=10.789 b=10.789 c=4.799 alpha=90.00 beta=90.00 gamma=90.00
Space group I4/mmm (No. 139)
Asymmetric unit:
Na1 0.000 0.214 0.000 [8 per cell]
Al1 0.212 0.212 0.500 [8 per cell]
Ge1 0.000 0.380 0.500 [8 per cell]

Properties
ΔE_f = 0.17 eV per atom
Fermi-level density of states = 10.64 states/eV per cell
spin magnetization = 0.0 μB/f.u.